The following is a DFT calculation (PBE) of an optimized crystal structure of Y2BCl.

a b c (Å): 7.381 7.381 7.381
angles (deg): 132.29 132.29 69.77
Positions (direct):
Y1 0.070 0.625 0.945
Y2 0.375 0.320 0.445
Y3 0.680 0.125 0.055
Y4 0.875 0.930 0.555
B1 0.000 0.000 0.000
B2 0.750 0.250 0.500
Cl1 0.250 0.750 0.500
Cl2 0.500 0.500 0.000

Values from the calculation:
The value obtained for the formation energy from raw total energies is -192.7 kJ/mol of formula units. The value obtained for the total energy is -5.862 eV per atom. As for the symmetry: I-42d. The value obtained for the energy above the most stable polymorph in this dataset is 1.712 eV/f.u.

=====

The following is a DFT calculation (PBE) of an optimized crystal structure of NaMgIn5.

a b c (Å): 5.133 5.133 7.182
angles (deg): 90.00 90.00 90.00
Positions (direct):
Na1 0.000 0.000 0.000
Mg1 0.000 0.000 0.500
In1 0.000 0.500 0.277
In2 0.000 0.500 0.723
In3 0.500 0.000 0.277
In4 0.500 0.000 0.723
In5 0.500 0.500 0.000

Values from the calculation:
The value obtained for the total energy is -2.405 eV per atom. As for the symmetry: P4/mmm. Its formation energy is -22.4 kJ/mol of formula units.

=====

The following is a DFT calculation (PBE) of an optimized crystal structure of Ti3Ru2.

a b c (Å): 3.078 3.078 15.941
angles (deg): 90.00 90.00 90.00
Positions (direct):
Ti1 0.000 0.000 0.000
Ti2 0.000 0.000 0.194
Ti3 0.000 0.000 0.386
Ti4 0.000 0.000 0.614
Ti5 0.000 0.000 0.806
Ti6 0.500 0.500 0.500
Ru1 0.500 0.500 0.097
Ru2 0.500 0.500 0.291
Ru3 0.500 0.500 0.709
Ru4 0.500 0.500 0.903

Values from the calculation:
The value obtained for the total energy is -9.058 eV per atom. As for the symmetry: P4/mmm. Its formation energy is -294.6 kJ/mol of formula units.

=====

The following is a DFT calculation (PBE) of an optimized crystal structure of AgPd6W.

a b c (Å): 3.978 3.978 7.883
angles (deg): 90.00 90.00 90.00
Positions (direct):
Ag1 0.000 0.000 0.000
Pd1 0.000 0.500 0.263
Pd2 0.000 0.500 0.737
Pd3 0.500 0.000 0.263
Pd4 0.500 0.000 0.737
Pd5 0.500 0.500 0.000
Pd6 0.500 0.500 0.500
W1 0.000 0.000 0.500

Values from the calculation:
The value obtained for the total energy is -5.964 eV per atom. As for the symmetry: P4/mmm. Its formation energy is -72.1 kJ/mol of formula units.

=====

The following is a DFT calculation (PBE) of an optimized crystal structure of Mo3Pt.

a b c (Å): 2.703 4.636 5.015
angles (deg): 90.00 90.00 90.00
Positions (direct):
Mo1 0.000 0.000 0.000
Mo2 0.000 0.500 0.314
Mo3 0.500 0.000 0.497
Pt1 0.500 0.500 0.824

Values from the calculation:
The value obtained for the total energy is -9.649 eV per atom. As for the symmetry: Pmm2. The value obtained for the energy above the most stable polymorph in this dataset is 0.445 eV/f.u. Its formation energy is -5.9 kJ/mol of formula units.

=====

The following is a DFT calculation (PBE) of an optimized crystal structure of NaSc2Os2.

a b c (Å): 5.725 5.725 5.725
angles (deg): 129.25 129.25 74.61
Positions (direct):
Na1 0.000 0.000 0.000
Sc1 0.250 0.750 0.500
Sc2 0.750 0.250 0.500
Os1 0.368 0.368 0.000
Os2 0.632 0.632 0.000

Values from the calculation:
The value obtained for the total energy is -6.944 eV per atom. As for the symmetry: I4/mmm. The value obtained for the energy above the most stable polymorph in this dataset is 1.133 eV/f.u. Its formation energy is 166.0 kJ/mol of formula units.